*a*
Density functional theory data (GGA-PBE) for CuAuN2F after structural relaxation.

Summary:
DOS(E_F) = 2.5 states/eV/cell

Lattice parameters (Å, degrees): 3.9173 3.9173 5.2392 90.00 90.00 90.00
Space group P4/mmm (No. 123)
Inequivalent atoms, fractional coordinates:
Cu (0.0000, 0.0000, 0.0000) [1 per cell]
Au (0.5000, 0.5000, 0.5000) [1 per cell]
N (0.0000, 0.5000, 0.5000) [2 per cell]
F (0.5000, 0.5000, 0.0000) [1 per cell]

*b*
Density functional theory data (GGA-PBE) for CuAuN2F after structural relaxation.

Summary:
DOS(E_F) = 3.6 states/eV/cell

Lattice parameters (Å, degrees): 3.8637 3.8637 3.9207 90.00 90.00 90.00
Space group P4/mmm (No. 123)
Inequivalent atoms, fractional coordinates:
Cu (0.0000, 0.0000, 0.0000) [1 per cell]
Au (0.5000, 0.5000, 0.5000) [1 per cell]
N (0.0000, 0.5000, 0.0000) [2 per cell]
F (0.0000, 0.0000, 0.5000) [1 per cell]

Most stable: *b*. Least stable: *a*.

*a*
Density functional theory data (GGA-PBE) for Na2CuAuF6 after structural relaxation.

Summary:
DOS(E_F) = 0.3 states/eV/cell

Lattice parameters (Å, degrees): 5.6763 5.7860 5.8552 63.33 86.97 61.28
Space group P1 (No. 1)
Inequivalent atoms, fractional coordinates:
Na (0.0000, 0.0000, 0.0000) [1 per cell]
Na (0.4903, 0.9965, 0.5054) [1 per cell]
Cu (0.2902, 0.4199, 0.8919) [1 per cell]
Au (0.7875, 0.4163, 0.3878) [1 per cell]
F (0.0620, 0.5256, 0.1375) [1 per cell]
F (0.2227, 0.8159, 0.7160) [1 per cell]
F (0.3614, 0.0244, 0.1032) [1 per cell]
F (0.5420, 0.2836, 0.6722) [1 per cell]
F (0.6861, 0.2497, 0.1867) [1 per cell]
F (0.8936, 0.5413, 0.6277) [1 per cell]

*b*
Density functional theory data (GGA-PBE) for Na2CuAuF6 after structural relaxation.

Summary:
DOS(E_F) = 18.9 states/eV/cell

Lattice parameters (Å, degrees): 8.4292 8.4292 8.4292 90.00 90.00 90.00
Space group Fm-3m (No. 225)
Inequivalent atoms, fractional coordinates:
Na (0.2500, 0.2500, 0.2500) [8 per cell]
Cu (0.0000, 0.0000, 0.0000) [4 per cell]
Au (0.0000, 0.0000, 0.5000) [4 per cell]
F (0.0000, 0.0000, 0.2350) [24 per cell]

Most stable: *a*. Least stable: *b*.

*a*
Density functional theory data (GGA-PBE) for FeCuAu after structural relaxation.

Summary:
DOS(E_F) = 4.1 states/eV/cell

Lattice parameters (Å, degrees): 2.8057 3.7036 8.2100 90.00 90.00 90.00
Space group Imm2 (No. 44)
Inequivalent atoms, fractional coordinates:
Fe (0.0000, 0.0000, 0.0000) [2 per cell]
Cu (0.0000, 0.0000, 0.3452) [2 per cell]
Au (0.0000, 0.0000, 0.6733) [2 per cell]

*b*
Density functional theory data (GGA-PBE) for FeCuAu after structural relaxation.

Summary:
DOS(E_F) = 4.6 states/eV/cell

Lattice parameters (Å, degrees): 4.7692 2.7611 6.7884 90.00 103.68 90.00
Space group Cm (No. 8)
Inequivalent atoms, fractional coordinates:
Fe (0.0000, 0.0000, 0.0000) [2 per cell]
Cu (0.2672, 0.5000, 0.3039) [2 per cell]
Au (0.2174, 0.0000, 0.6529) [2 per cell]

*c*
Density functional theory data (GGA-PBE) for FeCuAu after structural relaxation.

Summary:
DOS(E_F) = 1.8 states/eV/cell

Lattice parameters (Å, degrees): 4.3054 4.3054 2.6730 90.00 90.00 120.00
Space group P3m1 (No. 156)
Inequivalent atoms, fractional coordinates:
Fe (0.0000, 0.0000, 0.0000) [1 per cell]
Cu (0.6667, 0.3333, 0.7207) [1 per cell]
Au (0.3333, 0.6667, 0.4033) [1 per cell]

Most stable: *a*. Least stable: *b*.

*a*
Density functional theory data (GGA-PBE) for FeCuAu after structural relaxation.

Summary:
DOS(E_F) = 2.4 states/eV/cell

Lattice parameters (Å, degrees): 2.7732 2.7732 6.5184 90.00 90.00 120.00
Space group P3m1 (No. 156)
Inequivalent atoms, fractional coordinates:
Fe (0.0000, 0.0000, 0.0000) [1 per cell]
Cu (0.6667, 0.3333, 0.3047) [1 per cell]
Au (0.3333, 0.6667, 0.6521) [1 per cell]

*b*
Density functional theory data (GGA-PBE) for FeCuAu after structural relaxation.

Summary:
DOS(E_F) = 9.8 states/eV/cell

Lattice parameters (Å, degrees): 10.1505 2.6945 7.3372 90.00 120.00 90.00
Space group C2/m (No. 12)
Inequivalent atoms, fractional coordinates:
Fe (0.1197, 0.0000, 0.1586) [4 per cell]
Cu (0.1328, 0.5000, 0.4698) [4 per cell]
Au (0.1293, 0.0000, 0.7942) [4 per cell]

*c*
Density functional theory data (GGA-PBE) for FeCuAu after structural relaxation.

Summary:
DOS(E_F) = 2.8 states/eV/cell

Lattice parameters (Å, degrees): 2.7512 2.7512 11.2464 90.00 90.00 90.00
Space group I4mm (No. 107)
Inequivalent atoms, fractional coordinates:
Fe (0.0000, 0.0000, 0.0000) [2 per cell]
Cu (0.0000, 0.0000, 0.6479) [2 per cell]
Au (0.0000, 0.0000, 0.3234) [2 per cell]

Most stable: *c*. Least stable: *b*.

*a*
Density functional theory data (GGA-PBE) for FeCuAu after structural relaxation.

Summary:
DOS(E_F) = 11.4 states/eV/cell

Lattice parameters (Å, degrees): 5.8099 5.8099 5.8099 90.00 90.00 90.00
Space group F-43m (No. 216)
Inequivalent atoms, fractional coordinates:
Fe (0.0000, 0.0000, 0.0000) [4 per cell]
Cu (0.2500, 0.2500, 0.7500) [4 per cell]
Au (0.0000, 0.0000, 0.5000) [4 per cell]

*b*
Density functional theory data (GGA-PBE) for FeCuAu after structural relaxation.

Summary:
DOS(E_F) = 7.6 states/eV/cell

Lattice parameters (Å, degrees): 2.7654 2.7654 19.6848 90.00 90.00 120.00
Space group R3m (No. 160, hexagonal axes)
Inequivalent atoms, fractional coordinates:
Fe (0.0000, 0.0000, 0.0000) [3 per cell]
Cu (0.0000, 0.0000, 0.4350) [3 per cell]
Au (0.0000, 0.0000, 0.2178) [3 per cell]

Most stable: *b*. Least stable: *a*.

*a*
Density functional theory data (GGA-PBE) for FeCu2Au2 after structural relaxation.

Summary:
DOS(E_F) = 7.3 states/eV/cell

Lattice parameters (Å, degrees): 6.7564 6.7564 3.3518 90.00 90.00 90.00
Space group P4/mbm (No. 127)
Inequivalent atoms, fractional coordinates:
Fe (0.0000, 0.0000, 0.0000) [2 per cell]
Cu (0.1296, 0.3704, 0.0000) [4 per cell]
Au (0.1704, 0.6704, 0.5000) [4 per cell]

*b*
Density functional theory data (GGA-PBE) for FeCu2Au2 after structural relaxation.

Summary:
DOS(E_F) = 6.5 states/eV/cell

Lattice parameters (Å, degrees): 7.2477 7.2477 2.9854 90.00 90.00 90.00
Space group P4/mbm (No. 127)
Inequivalent atoms, fractional coordinates:
Fe (0.0000, 0.0000, 0.0000) [2 per cell]
Cu (0.1504, 0.3496, 0.5000) [4 per cell]
Au (0.1484, 0.6484, 0.0000) [4 per cell]

Most stable: *a*. Least stable: *b*.

*a*
Density functional theory data (GGA-PBE) for Fe2CuHAu after structural relaxation.

Summary:
DOS(E_F) = 3.7 states/eV/cell

Lattice parameters (Å, degrees): 3.7183 3.7183 4.0609 90.00 90.00 90.00
Space group P4/mmm (No. 123)
Inequivalent atoms, fractional coordinates:
Fe (0.0000, 0.5000, 0.0000) [2 per cell]
Cu (0.0000, 0.0000, 0.5000) [1 per cell]
H (0.0000, 0.0000, 0.0000) [1 per cell]
Au (0.5000, 0.5000, 0.5000) [1 per cell]

*b*
Density functional theory data (GGA-PBE) for Fe2CuHAu after structural relaxation.

Summary:
DOS(E_F) = 3.2 states/eV/cell

Lattice parameters (Å, degrees): 3.6834 3.6834 4.1769 90.00 90.00 90.00
Space group P4/mmm (No. 123)
Inequivalent atoms, fractional coordinates:
Fe (0.0000, 0.5000, 0.0000) [2 per cell]
Cu (0.0000, 0.0000, 0.5000) [1 per cell]
H (0.5000, 0.5000, 0.0000) [1 per cell]
Au (0.5000, 0.5000, 0.5000) [1 per cell]

Most stable: *a*. Least stable: *b*.

*a*
Density functional theory data (GGA-PBE) for FeCuOsAuN after structural relaxation.

Summary:
DOS(E_F) = 3.3 states/eV/cell

Lattice parameters (Å, degrees): 3.7500 2.7459 6.5031 90.00 94.54 90.00
Space group Pm (No. 6)
Inequivalent atoms, fractional coordinates:
Fe (0.0000, 0.0000, 0.0000) [1 per cell]
Cu (0.9559, 0.0000, 0.6007) [1 per cell]
Os (0.4813, 0.5000, 0.8129) [1 per cell]
Au (0.4163, 0.5000, 0.3735) [1 per cell]
N (0.7051, 0.5000, 0.0882) [1 per cell]

*b*
Density functional theory data (GGA-PBE) for FeCuOsAuN after structural relaxation.

Summary:
DOS(E_F) = 3.1 states/eV/cell

Lattice parameters (Å, degrees): 2.8898 3.9433 5.8922 90.00 103.86 90.00
Space group Pm (No. 6)
Inequivalent atoms, fractional coordinates:
Fe (0.0000, 0.0000, 0.0000) [1 per cell]
Cu (0.2168, 0.0000, 0.4434) [1 per cell]
Os (0.3943, 0.5000, 0.7827) [1 per cell]
Au (0.6350, 0.5000, 0.2761) [1 per cell]
N (0.3943, 0.0000, 0.7843) [1 per cell]

*c*
Density functional theory data (GGA-PBE) for FeCuOsAuN after structural relaxation.

Summary:
DOS(E_F) = 2.7 states/eV/cell

Lattice parameters (Å, degrees): 2.7246 4.9955 5.3124 81.17 75.23 74.33
Space group P1 (No. 1)
Inequivalent atoms, fractional coordinates:
Fe (0.0000, 0.0000, 0.0000) [1 per cell]
Cu (0.4813, 0.3963, 0.6307) [1 per cell]
Os (0.6417, 0.5553, 0.1551) [1 per cell]
Au (0.7925, 0.8749, 0.5350) [1 per cell]
N (0.3366, 0.3136, 0.0031) [1 per cell]

*d*
Density functional theory data (GGA-PBE) for FeCuOsAuN after structural relaxation.

Summary:
DOS(E_F) = 5.5 states/eV/cell

Lattice parameters (Å, degrees): 10.8906 2.7360 4.7034 90.00 104.14 90.00
Space group Cm (No. 8)
Inequivalent atoms, fractional coordinates:
Fe (0.0000, 0.0000, 0.0000) [2 per cell]
Cu (0.2268, 0.5000, 0.3891) [2 per cell]
Os (0.4367, 0.0000, 0.5339) [2 per cell]
Au (0.2568, 0.0000, 0.9075) [2 per cell]
N (0.0468, 0.5000, 0.2955) [2 per cell]

Most stable: *b*. Least stable: *a*.

*a*
Density functional theory data (GGA-PBE) for GaCu2Au6 after structural relaxation.

Summary:
DOS(E_F) = 4.3 states/eV/cell

Lattice parameters (Å, degrees): 9.0557 4.0510 8.4497 90.00 104.53 90.00
Space group C2/m (No. 12)
Inequivalent atoms, fractional coordinates:
Ga (0.0000, 0.0000, 0.0000) [2 per cell]
Cu (0.1848, 0.5000, 0.2347) [4 per cell]
Au (0.0088, 0.0000, 0.3165) [4 per cell]
Au (0.1576, 0.5000, 0.9029) [4 per cell]
Au (0.1639, 0.5000, 0.5574) [4 per cell]

*b*
Density functional theory data (GGA-PBE) for GaCu2Au6 after structural relaxation.

Summary:
DOS(E_F) = 5.5 states/eV/cell

Lattice parameters (Å, degrees): 8.3484 8.3484 4.2718 90.00 90.00 90.00
Space group P4_2/mnm (No. 136)
Inequivalent atoms, fractional coordinates:
Ga (0.0000, 0.0000, 0.0000) [2 per cell]
Cu (0.1954, 0.1954, 0.5000) [4 per cell]
Au (0.0209, 0.3234, 0.0000) [8 per cell]
Au (0.1356, 0.8644, 0.5000) [4 per cell]

Most stable: *b*. Least stable: *a*.

*a*
Density functional theory data (GGA-PBE) for GaCu4Au after structural relaxation.

Summary:
DOS(E_F) = 3.6 states/eV/cell

Lattice parameters (Å, degrees): 5.0781 7.3594 5.1443 90.00 117.66 90.00
Space group C2/m (No. 12)
Inequivalent atoms, fractional coordinates:
Ga (0.0000, 0.0000, 0.0000) [2 per cell]
Cu (0.2448, 0.1857, 0.7589) [8 per cell]
Au (0.0000, 0.5000, 0.5000) [2 per cell]

*b*
Density functional theory data (GGA-PBE) for GaCu4Au after structural relaxation.

Summary:
DOS(E_F) = 2.7 states/eV/cell

Lattice parameters (Å, degrees): 3.6809 8.1984 5.3872 90.00 90.00 90.00
Space group Pmmn (No. 59, origin choice 2)
Inequivalent atoms, fractional coordinates:
Ga (0.2500, 0.2500, 0.1265) [2 per cell]
Cu (0.2500, 0.5725, 0.1194) [4 per cell]
Cu (0.2500, 0.5831, 0.6307) [4 per cell]
Au (0.2500, 0.2500, 0.6329) [2 per cell]

Most stable: *b*. Least stable: *a*.